No. 1
Computed, not measured: a geometry-optimized VGeIr2 structure at the PBE level of DFT.

## Properties
E_tot = -60.4 eV/cell
formation enthalpy at 0 K = 317 meV per atom
space-group type = I-42d (122)

Cell: 5.507 5.507 6.720 Å, 65.81 65.81 90.00°
Sites, in units of the cell vectors:
Ge: 0.000 0.000 0.000
Ge: 0.750 0.250 0.500
Ir: 0.617 0.125 0.250
Ir: 0.133 0.625 0.250
Ir: 0.375 0.383 0.750
Ir: 0.875 0.867 0.750
V: 0.500 0.500 0.000
V: 0.250 0.750 0.500

No. 2
Computed, not measured: a geometry-optimized V2GeIr structure at the PBE level of DFT.

## Properties
E_tot = -66.3 eV/cell
formation enthalpy at 0 K = -356 meV per atom
space-group type = P2_1/m (11)

Cell: 4.334 5.250 5.351 Å, 113.89 90.00 90.00°
Sites, in units of the cell vectors:
V: 0.250 0.377 0.157
V: 0.750 0.623 0.843
V: 0.750 0.128 0.855
V: 0.250 0.872 0.145
Ge: 0.750 0.170 0.347
Ge: 0.250 0.830 0.653
Ir: 0.250 0.323 0.655
Ir: 0.750 0.677 0.345

No. 3
Computed, not measured: a geometry-optimized V5Ge6Ir structure at the PBE level of DFT.

## Properties
E_tot = -82.5 eV/cell
formation enthalpy at 0 K = -32 meV per atom
space-group type = C2/m (12)

Cell: 4.882 8.400 6.058 Å, 46.11 82.73 79.48°
Sites, in units of the cell vectors:
V: 0.500 0.158 0.684
V: 0.000 0.330 0.340
V: 0.500 0.500 0.000
V: 0.000 0.670 0.660
V: 0.500 0.842 0.316
Ge: 0.751 0.079 0.342
Ge: 0.249 0.579 0.342
Ge: 0.252 0.251 0.000
Ge: 0.748 0.749 0.000
Ge: 0.751 0.421 0.658
Ge: 0.249 0.921 0.658
Ir: 0.000 0.000 0.000

No. 4
Computed, not measured: a geometry-optimized VGeIr2 structure at the PBE level of DFT.

## Properties
E_tot = -32.6 eV/cell
formation enthalpy at 0 K = -290 meV per atom
space-group type = P4/mmm (123)

Cell: 2.837 2.837 7.114 Å, 90.00 90.00 90.00°
Sites, in units of the cell vectors:
Ge: 0.500 0.500 0.000
Ir: 0.000 0.000 0.751
Ir: 0.000 0.000 0.249
V: 0.500 0.500 0.500

No. 5
Computed, not measured: a geometry-optimized VGeIr2 structure at the PBE level of DFT.

## Properties
E_tot = -32.3 eV/cell
formation enthalpy at 0 K = -216 meV per atom
space-group type = P4/mmm (123)

Cell: 3.623 3.991 3.991 Å, 90.00 90.00 90.00°
Sites, in units of the cell vectors:
Ge: 0.500 0.000 0.000
Ir: 0.000 0.000 0.500
Ir: 0.000 0.500 0.000
V: 0.500 0.500 0.500

No. 6
Computed, not measured: a geometry-optimized V2GeIr structure at the PBE level of DFT.

## Properties
E_tot = -33.0 eV/cell
formation enthalpy at 0 K = -326 meV per atom
space-group type = P4/mmm (123)

Cell: 2.754 2.754 7.404 Å, 90.00 90.00 90.00°
Sites, in units of the cell vectors:
Ge: 0.500 0.500 0.000
Ir: 0.500 0.500 0.500
V: 0.000 0.000 0.745
V: 0.000 0.000 0.255

No. 7
Computed, not measured: a geometry-optimized V2GeIr structure at the PBE level of DFT.

## Properties
E_tot = -33.0 eV/cell
formation enthalpy at 0 K = -321 meV per atom
space-group type = P4/mmm (123)

Cell: 4.002 3.730 3.730 Å, 90.00 90.00 90.00°
Sites, in units of the cell vectors:
Ge: 0.500 0.000 0.000
Ir: 0.500 0.500 0.500
V: 0.000 0.000 0.500
V: 0.000 0.500 0.000

No. 8
Computed, not measured: a geometry-optimized V4Ge4Ir structure at the PBE level of DFT.

## Properties
E_tot = -63.0 eV/cell
formation enthalpy at 0 K = 87 meV per atom
space-group type = I4/m (87)

Cell: 4.802 5.827 5.827 Å, 80.22 65.67 65.67°
Sites, in units of the cell vectors:
V: 0.703 0.684 0.910
V: 0.297 0.316 0.090
V: 0.613 0.090 0.684
V: 0.387 0.910 0.316
Ge: 0.667 0.389 0.277
Ge: 0.333 0.611 0.723
Ge: 0.944 0.723 0.389
Ge: 0.056 0.277 0.611
Ir: 0.000 0.000 0.000